Entry 1:
Pr5Dy2YTm (PBE-GGA, optimized geometry); energy of formation = 0.2963 eV per atom; density = 6735 kg/m³; spin magnetization = 0.000 μB per formula unit
1.0
-3.998 3.998 9.929
3.998 -3.998 9.929
3.998 3.998 -9.929
Pr Dy Y Tm
10 4 2 2
direct
0.000 0.000 0.000
0.074 0.574 0.914
0.161 0.074 0.500
0.339 0.839 0.914
0.426 0.339 0.500
0.500 0.500 0.000
0.574 0.661 0.500
0.661 0.161 0.086
0.839 0.926 0.500
0.926 0.426 0.086
0.129 0.371 0.500
0.371 0.871 0.242
0.629 0.129 0.758
0.871 0.629 0.500
0.250 0.250 0.000
0.750 0.750 0.000
0.250 0.750 0.500
0.750 0.250 0.500



Entry 2:
Pr2Dy5YTm (PBE-GGA, optimized geometry); energy of formation = 0.2715 eV per atom; density = 7618 kg/m³; spin magnetization = 0.000 μB per formula unit
1.0
-4.307 4.307 7.946
4.307 -4.307 7.946
4.307 4.307 -7.946
Pr Dy Y Tm
4 10 2 2
direct
0.119 0.619 0.738
0.381 0.119 0.500
0.619 0.881 0.500
0.881 0.381 0.262
0.000 0.000 0.000
0.073 0.144 0.500
0.144 0.644 0.071
0.356 0.427 0.500
0.427 0.927 0.071
0.500 0.500 0.000
0.573 0.073 0.929
0.644 0.573 0.500
0.856 0.356 0.929
0.927 0.856 0.500
0.250 0.250 0.000
0.750 0.750 0.000
0.250 0.750 0.500
0.750 0.250 0.500



The records above give, respectively, electronic total energy values of -4.597 -4.562 eV per atom.